No. 1
DFT (GGA-PBE) results for a relaxed structure of K5PuS5.

Cell lengths 5.9423, 7.8317, 8.6165 Å; angles 107.32, 90.00, 112.29 degrees
Last column: nearest neighbours and their distance in Å.
Fractional positions:
Pu 0.0000 0.0000 0.0000  4 S 2.60-2.65
K 0.3240 0.6479 0.1471  5 S 3.04-3.27
K 0.6760 0.3521 0.8529  5 S 3.04-3.27
K 0.3067 0.6133 0.6875  4 S 3.06-3.29
K 0.0000 0.0000 0.5000  4 S 3.01-3.13
K 0.6933 0.3867 0.3125  4 S 3.06-3.29
S 0.8694 0.7389 0.1481  1 Pu 2.60
S 0.5000 0.0000 0.0000  2 Pu 2.97, 4 K 3.19-3.20
S 0.8606 0.7211 0.7124  1 Pu 2.65
S 0.1394 0.2789 0.2876  1 Pu 2.65
S 0.1306 0.2611 0.8519  1 Pu 2.60



No. 2
DFT (GGA-PBE) results for a relaxed structure of RbScTlF6.

Cell lengths 6.1350, 6.1348, 5.6348 Å; angles 90.01, 89.99, 59.97 degrees
Last column: nearest neighbours and their distance in Å.
Fractional positions:
Tl 0.6666 0.6666 0.5000  6 F 2.43
F 0.0450 0.5987 0.7028  1 Sc 2.05
F 0.0453 0.3562 0.2969  1 Sc 2.05
F 0.5982 0.3565 0.7032  1 Sc 2.05
F 0.3562 0.0454 0.7030  1 Sc 2.05
F 0.5987 0.0450 0.2971  1 Sc 2.05
F 0.3565 0.5982 0.2968  1 Sc 2.05
Rb 0.0000 0.0000 0.0000  6 F 2.87
Sc 0.3333 0.3334 0.5000  6 F 2.05



no.,Fermi-level density of states (states/eV/atom),E_tot (eV per atom),formation energy (no corrections) (eV/atom)
1,0.8844,-4.84,-1.16
2,0.4066,-5.26,-2.94